No. 1
Density functional theory data (GGA-PBE) for a relaxed structure of KFe3Br.

a = 4.589 Å, b = 4.589 Å, c = 4.589 Å
α = 90.00°, β = 90.00°, γ = 90.00°
Site moments in Bohr magnetons follow the coordinates.
Positions (direct):
Fe (0.000, 0.000, 0.500)  2.10
Fe (0.000, 0.500, 0.000)  2.25
Fe (0.500, 0.000, 0.000)  2.38
K (0.500, 0.500, 0.500)  -0.05
Br (0.000, 0.000, 0.000)  -0.06

Output
The total magnetic moment comes out at 6.05 μB per formula unit.

No. 2
Density functional theory data (GGA-PBE) for a relaxed structure of K2FeBr.

a = 5.860 Å, b = 5.860 Å, c = 5.860 Å
α = 60.00°, β = 60.00°, γ = 60.00°
Site moments in Bohr magnetons follow the coordinates.
Positions (direct):
Br (0.500, 0.500, 0.500)  0.00
K (0.250, 0.250, 0.250)  -0.01
K (0.750, 0.750, 0.750)  -0.01
Fe (0.000, 0.000, 0.000)  2.94

Output
The total magnetic moment comes out at 3.00 μB per formula unit.

Number 1: ΔE_f (raw) 1.2484 eV/atom. Number 2: ΔE_f (raw) 0.1002 eV/atom.